Entry 1:
A plane-wave DFT calculation with PBE was carried out for Pr6Dy12Tl after structural relaxation.

The space group is R-3 (No. 148, hexagonal axes) and the conventional cell measures 12.0103, 12.0103 and 15.0132 Å, with angles of 90.00, 90.00 and 120.00 degrees. Symmetry generates all atoms from Pr at (0.0122, 0.4214, 0.1831), Dy at (0.0000, 0.1723, 0.3135), Dy at (0.0457, 0.8521, 0.9162) and Tl at (0.0000, 0.0000, 0.5000).

The calculation puts the formation energy at 80.7 meV/atom. As for the total energy: -4.46 eV per atom. The calculation puts the density of states at the Fermi level at 71.876 states/eV per cell.

Entry 2:
A plane-wave DFT calculation with PBE was carried out for BaH3F3 after structural relaxation.

The space group is R-3 (No. 148, hexagonal axes) and the conventional cell measures 7.2473, 7.2473 and 11.1472 Å, with angles of 90.00, 90.00 and 120.00 degrees. Symmetry generates all atoms from Ba at (0.0000, 0.0000, 0.2218), H at (0.0160, 0.8591, 0.5166) and F at (0.0043, 0.3670, 0.7483).

As for the total energy: -4.05 eV per atom.

Entry 3:
A plane-wave DFT calculation with PBE was carried out for PaMn2Tl2S6 after structural relaxation.

The space group is C2/m (No. 12) and the conventional cell measures 6.568, 10.940 and 8.070 Å, with angles of 90.00, 106.98 and 90.00 degrees. Symmetry generates all atoms from Pa at (0.000, 0.000, 0.000), Mn at (0.000, 0.331, 0.000), Tl at (0.000, 0.163, 0.500), S at (0.206, 0.500, 0.175) and S at (0.220, 0.178, 0.190).

As for the total energy: -6.06 eV per atom. The calculation puts the density of states at the Fermi level at 4.287 states/eV per cell.

Entry 4:
A plane-wave DFT calculation with PBE was carried out for Mn2FeRu after structural relaxation.

The space group is Fm-3m (No. 225) and the conventional cell measures 5.830, 5.830 and 5.830 Å, with angles of 90.00, 90.00 and 90.00 degrees. Symmetry generates all atoms from Mn at (0.250, 0.250, 0.250), Fe at (0.000, 0.000, 0.000) and Ru at (0.000, 0.000, 0.500).

The calculation puts the formation energy at 126.0 meV/atom. As for the total energy: -8.89 eV per atom. As for the offset from the most stable computed form: 0.112 eV/atom. The calculation puts the density of states at the Fermi level at 15.010 states/eV per cell.

Entry 5:
A plane-wave DFT calculation with PBE was carried out for Nb2CdGe2 after structural relaxation.

The space group is I4/mmm (No. 139) and the conventional cell measures 3.748, 3.748 and 13.487 Å, with angles of 90.00, 90.00 and 90.00 degrees. Symmetry generates all atoms from Nb at (0.000, 0.000, 0.103), Cd at (0.000, 0.000, 0.500) and Ge at (0.000, 0.500, 0.250).

The calculation puts the formation energy at 122.5 meV/atom. As for the total energy: -5.94 eV per atom. As for the offset from the most stable computed form: 0.219 eV/atom. The calculation puts the density of states at the Fermi level at 4.940 states/eV per cell.

Entry 6:
A plane-wave DFT calculation with PBE was carried out for SrLi2Sb after structural relaxation.

The space group is R3m (No. 160, hexagonal axes) and the conventional cell measures 4.7091, 4.7091 and 17.1833 Å, with angles of 90.00, 90.00 and 120.00 degrees. Symmetry generates all atoms from Sr at (0.0000, 0.0000, 0.0000), Li at (0.0000, 0.0000, 0.5178), Li at (0.0000, 0.0000, 0.8075) and Sb at (0.0000, 0.0000, 0.2041).

As for the total energy: -3.02 eV per atom. The calculation puts the density of states at the Fermi level at 2.427 states/eV per cell.

Entry 7:
A plane-wave DFT calculation with PBE was carried out for Tb6PrHg2 after structural relaxation.

The space group is C2/m (No. 12) and the conventional cell measures 12.704, 3.758 and 11.955 Å, with angles of 90.00, 108.42 and 90.00 degrees. Symmetry generates all atoms from Tb at (0.015, 0.000, 0.340), Tb at (0.188, 0.500, 0.583), Tb at (0.188, 0.500, 0.875), Pr at (0.000, 0.000, 0.000) and Hg at (0.149, 0.500, 0.217).

The calculation puts the formation energy at -204.0 meV/atom. As for the total energy: -3.89 eV per atom. The calculation puts the density of states at the Fermi level at 19.202 states/eV per cell.

Entry 8:
A plane-wave DFT calculation with PBE was carried out for ErZrZn after structural relaxation.

The space group is P3m1 (No. 156) and the conventional cell measures 4.8508, 4.8508 and 3.3854 Å, with angles of 90.00, 90.00 and 120.00 degrees. Symmetry generates all atoms from Er at (0.0000, 0.0000, 0.0000), Zr at (0.3333, 0.6667, 0.5032) and Zn at (0.6667, 0.3333, 0.4881).

The calculation puts the formation energy at 11.8 meV/atom. As for the total energy: -4.78 eV per atom. As for the offset from the most stable computed form: 0.180 eV/atom. The calculation puts the density of states at the Fermi level at 2.172 states/eV per cell.

Entry 9:
A plane-wave DFT calculation with PBE was carried out for Ti2NbMoS after structural relaxation.

The space group is P4/mmm (No. 123) and the conventional cell measures 4.791, 4.791 and 4.588 Å, with angles of 90.00, 90.00 and 90.00 degrees. Symmetry generates all atoms from Ti at (0.000, 0.500, 0.000), Nb at (0.000, 0.000, 0.000), Mo at (0.500, 0.500, 0.500) and S at (0.000, 0.000, 0.500).

As for the total energy: -6.99 eV per atom. The calculation puts the density of states at the Fermi level at 6.829 states/eV per cell.

Entry 10:
A plane-wave DFT calculation with PBE was carried out for Tl4Cl5 after structural relaxation.

The space group is P6_3/mcm (No. 193) and the conventional cell measures 9.1760, 9.1760 and 7.8114 Å, with angles of 90.00, 90.00 and 120.00 degrees. Symmetry generates all atoms from Tl at (0.0000, 0.0000, 0.0000), Tl at (0.0000, 0.4345, 0.2500), Cl at (0.0000, 0.2304, 0.7500) and Cl at (0.3333, 0.6667, 0.0000).

As for the total energy: -2.94 eV per atom. As for the offset from the most stable computed form: 0.000 eV/atom. The calculation puts the density of states at the Fermi level at 12.162 states/eV per cell.

Entry 11:
A plane-wave DFT calculation with PBE was carried out for Cs2U2TlTe5 after structural relaxation.

The space group is P4/mbm (No. 127) and the conventional cell measures 13.925, 13.925 and 4.025 Å, with angles of 90.00, 90.00 and 90.00 degrees. Symmetry generates all atoms from Cs at (0.179, 0.321, 0.000), U at (0.121, 0.621, 0.000), Tl at (0.000, 0.000, 0.000), Te at (0.000, 0.500, 0.500) and Te at (0.071, 0.781, 0.500).

As for the total energy: -4.91 eV per atom. The calculation puts the density of states at the Fermi level at 19.563 states/eV per cell.

Entry 12:
A plane-wave DFT calculation with PBE was carried out for TaAl2Tl after structural relaxation.

The space group is P4/mmm (No. 123) and the conventional cell measures 4.312, 4.312 and 3.932 Å, with angles of 90.00, 90.00 and 90.00 degrees. Symmetry generates all atoms from Ta at (0.000, 0.000, 0.000), Al at (0.000, 0.500, 0.500) and Tl at (0.500, 0.500, 0.000).

The calculation puts the formation energy at 322.4 meV/atom. As for the total energy: -5.10 eV per atom. As for the offset from the most stable computed form: 0.200 eV/atom. The calculation puts the density of states at the Fermi level at 3.834 states/eV per cell.